Material: TaC2F
Method: DFT, GGA-PBE
State: optimized geometry

a = 4.7055 Å, b = 4.7055 Å, c = 6.3354 Å
α = 68.20°, β = 68.20°, γ = 90.00°
Element x y z (fractional)
C: 0.6690 0.1250 0.2500
C: 0.0810 0.6250 0.2500
C: 0.3750 0.3310 0.7500
C: 0.8750 0.9190 0.7500
F: 0.5000 0.5000 0.0000
F: 0.2500 0.7500 0.5000
Ta: 0.0000 0.0000 0.0000
Ta: 0.7500 0.2500 0.5000

Output
Fermi-level density of states = 4.21 states/eV per cell
SG = No. 122
raw total energy = -54.40 eV per cell
formation energy (no corrections) = 1.243 eV/atom
polymorph energy (0 for the lowest one) = 0 meV/atom

Material: TaC2F2
Method: DFT, GGA-PBE
State: optimized geometry

a = 5.1651 Å, b = 5.1651 Å, c = 4.0252 Å
α = 90.00°, β = 90.00°, γ = 90.00°
Element x y z (fractional)
C: 0.4116 0.9116 0.0000
C: 0.9116 0.5884 0.0000
C: 0.5884 0.0884 0.0000
C: 0.0884 0.4116 0.0000
F: 0.2292 0.7292 0.5000
F: 0.7292 0.7708 0.5000
F: 0.7708 0.2708 0.5000
F: 0.2708 0.2292 0.5000
Ta: 0.0000 0.0000 0.0000
Ta: 0.5000 0.5000 0.0000

Output
Fermi-level density of states = 4.39 states/eV per cell
SG = No. 127
raw total energy = -68.20 eV per cell
formation energy (no corrections) = -0.012 eV/atom
polymorph energy (0 for the lowest one) = 0 meV/atom

Material: Ta2CF
Method: DFT, GGA-PBE
State: optimized geometry

a = 5.1426 Å, b = 5.1426 Å, c = 5.8731 Å
α = 64.04°, β = 64.04°, γ = 90.00°
Element x y z (fractional)
C: 0.5000 0.5000 0.0000
C: 0.2500 0.7500 0.5000
F: 0.0000 0.0000 0.0000
F: 0.7500 0.2500 0.5000
Ta: 0.5785 0.1250 0.2500
Ta: 0.1715 0.6250 0.2500
Ta: 0.3750 0.4215 0.7500
Ta: 0.8750 0.8285 0.7500

Output
Fermi-level density of states = 10.25 states/eV per cell
SG = No. 122
raw total energy = -70.75 eV per cell
formation energy (no corrections) = -0.143 eV/atom
polymorph energy (0 for the lowest one) = 0 meV/atom

Material: TaCF
Method: DFT, GGA-PBE
State: optimized geometry

a = 3.1734 Å, b = 5.3221 Å, c = 6.3989 Å
α = 83.35°, β = 75.64°, γ = 72.65°
Element x y z (fractional)
Ta: 0.2786 0.8105 0.6322
Ta: 0.7214 0.1895 0.3678
C: 0.8878 0.8034 0.4211
C: 0.1122 0.1966 0.5789
F: 0.2907 0.2829 0.1357
F: 0.7093 0.7171 0.8643

Output
SG = No. 12
raw total energy = -51.06 eV per cell
formation energy (no corrections) = -0.861 eV/atom

Material: TaC2F2
Method: DFT, GGA-PBE
State: optimized geometry

a = 3.3421 Å, b = 3.3421 Å, c = 5.1008 Å
α = 70.88°, β = 70.88°, γ = 90.00°
Element x y z (fractional)
C: 0.4277 0.4277 0.1447
C: 0.5723 0.5723 0.8553
F: 0.7500 0.2500 0.5000
F: 0.2500 0.7500 0.5000
Ta: 0.0000 0.0000 0.0000

Output
Fermi-level density of states = 4.11 states/eV per cell
SG = No. 139
raw total energy = -30.36 eV per cell
formation energy (no corrections) = 0.736 eV/atom
polymorph energy (0 for the lowest one) = 748 meV/atom

Material: TaC2F
Method: DFT, GGA-PBE
State: optimized geometry

a = 3.8358 Å, b = 3.8358 Å, c = 3.8358 Å
α = 60.00°, β = 60.00°, γ = 60.00°
Element x y z (fractional)
C: 0.2500 0.2500 0.2500
C: 0.7500 0.7500 0.7500
F: 0.0000 0.0000 0.0000
Ta: 0.5000 0.5000 0.5000

Output
Fermi-level density of states = 3.87 states/eV per cell
SG = No. 225
raw total energy = -26.93 eV per cell
formation energy (no corrections) = 1.310 eV/atom
polymorph energy (0 for the lowest one) = 67 meV/atom